Material: Tb6Pm3SmDy2
Method: DFT, GGA-PBE
State: relaxed

Summary:
Space group: C2/m, No. 12

a b c (Å): 6.211 6.211 11.875
angles (deg): 94.99 94.99 119.97
Sites, in units of the cell vectors:
Tb  0.917  0.583  0.752
Tb  0.251  0.251  0.752
Tb  0.583  0.917  0.752
Tb  0.417  0.083  0.248
Tb  0.749  0.749  0.248
Tb  0.083  0.417  0.248
Pm  0.167  0.833  0.500
Pm  0.833  0.167  0.500
Pm  0.500  0.500  0.500
Dy  0.333  0.667  0.000
Dy  0.667  0.333  0.000
Sm  0.000  0.000  0.000



Material: K3Cd5Ge2
Method: DFT, GGA-PBE
State: relaxed

Summary:
Space group: Ibam, No. 72

a b c (Å): 8.385 9.794 9.794
angles (deg): 60.70 64.66 64.66
Sites, in units of the cell vectors:
Ge  0.838  0.267  0.057
Ge  0.338  0.057  0.267
Ge  0.662  0.943  0.733
Ge  0.162  0.733  0.943
Cd  0.507  0.743  0.743
Cd  0.122  0.510  0.246
Cd  0.993  0.257  0.257
Cd  0.250  0.500  0.500
Cd  0.378  0.754  0.490
Cd  0.878  0.490  0.754
Cd  0.622  0.246  0.510
Cd  0.493  0.257  0.257
Cd  0.750  0.500  0.500
Cd  0.007  0.743  0.743
K  0.629  0.620  0.123
K  0.871  0.877  0.380
K  0.750  0.000  0.000
K  0.371  0.380  0.877
K  0.129  0.123  0.620
K  0.250  0.000  0.000



In the order shown, the computed formation enthalpy at 0 K values come out to 0.01; -0.04 eV/atom.
In the order shown, the computed uncorrected energy values come out to -4.649; -1.745 eV per atom.